MnSbPt2 | PBE | relaxed

Cell and atoms, written as POSCAR:
```
MnSbPt2
1.0
2.838 -3.370 0.000
2.838 3.370 0.000
0.000 0.000 3.610
Mn Sb Pt
1 1 2
Cartesian
0.000 0.000 0.000
2.838 0.000 0.000
1.419 1.685 1.805
1.419 -1.685 1.805
```

density of states at the Fermi level	2.1	states/eV per cell
calculated density	13.6	g/cm³
calculated total energy	-6.57	eV per atom
crystal system	orthorhombic
formation energy from raw total energies	-5.2	kcal/mol of atoms
space-group type	Cmmm, No. 65
size of the total moment	4.3	μB/cell